Record 1
# Mg2InHg (PBEsol, relaxed)
data_Mg2InHg
_chemical_formula_sum 'Mg2 In1 Hg1'
_cell_length_a 4.495
_cell_length_b 4.495
_cell_length_c 4.219
_cell_angle_alpha 90.00
_cell_angle_beta 90.00
_cell_angle_gamma 90.00
_space_group_name_H-M_alt 'P 4/m m m'
_space_group_IT_number 123
_space_group_name_Hall '-P 4 2'
loop_
_atom_site_label
_atom_site_type_symbol
_atom_site_fract_x
_atom_site_fract_y
_atom_site_fract_z
Mg1 Mg 0.000 0.500 0.000
In1 In 0.000 0.000 0.500
Hg1 Hg 0.500 0.500 0.500
# - DFT formation energy: -0.1932 eV/atom
# - Uncorrected energy: -7.8 eV/cell

Record 2
# MgIn2Hg2 (PBEsol, relaxed)
data_MgIn2Hg2
_chemical_formula_sum 'Mg2 In4 Hg4'
_cell_length_a 7.543
_cell_length_b 7.543
_cell_length_c 4.261
_cell_angle_alpha 90.00
_cell_angle_beta 90.00
_cell_angle_gamma 90.00
_space_group_name_H-M_alt 'P 4/m b m'
_space_group_IT_number 127
_space_group_name_Hall '-P 4 2ab'
loop_
_atom_site_label
_atom_site_type_symbol
_atom_site_fract_x
_atom_site_fract_y
_atom_site_fract_z
Mg1 Mg 0.000 0.000 0.000
In1 In 0.161 0.339 0.500
Hg1 Hg 0.145 0.645 0.000
# - DFT formation energy: -0.0600 eV/atom
# - E above lowest polymorph: 0 meV per atom
# - Uncorrected energy: -18.2 eV/cell

Record 3
# MgInTcHg2 (PBEsol, relaxed)
data_MgInTcHg2
_chemical_formula_sum 'Mg1 In1 Tc1 Hg2'
_cell_length_a 5.015
_cell_length_b 5.015
_cell_length_c 5.264
_cell_angle_alpha 90.00
_cell_angle_beta 90.00
_cell_angle_gamma 90.00
_space_group_name_H-M_alt 'P 4/m m m'
_space_group_IT_number 123
_space_group_name_Hall '-P 4 2'
loop_
_atom_site_label
_atom_site_type_symbol
_atom_site_fract_x
_atom_site_fract_y
_atom_site_fract_z
Mg1 Mg 0.000 0.000 0.000
In1 In 0.000 0.000 0.500
Tc1 Tc 0.500 0.500 0.500
Hg1 Hg 0.000 0.500 0.000
# - DFT formation energy: 1.2440 eV/atom
# - Uncorrected energy: -10.9 eV/cell

Record 4
# Mn2InHg (PBEsol, relaxed)
data_Mn2InHg
_chemical_formula_sum 'Mn4 In2 Hg2'
_cell_length_a 5.789
_cell_length_b 7.685
_cell_length_c 2.962
_cell_angle_alpha 90.00
_cell_angle_beta 90.00
_cell_angle_gamma 90.00
_space_group_name_H-M_alt 'C m m m'
_space_group_IT_number 65
_space_group_name_Hall '-C 2 2'
loop_
_atom_site_label
_atom_site_type_symbol
_atom_site_fract_x
_atom_site_fract_y
_atom_site_fract_z
Mn1 Mn 0.250 0.250 0.000
In1 In 0.000 0.000 0.500
Hg1 Hg 0.000 0.500 0.500
# - DFT formation energy: 0.3303 eV/atom
# - E above lowest polymorph: 0 meV per atom
# - Uncorrected energy: -43.5 eV/cell

Record 5
# Mn2InHg (PBEsol, relaxed)
data_Mn2InHg
_chemical_formula_sum 'Mn6 In3 Hg3'
_cell_length_a 3.0379
_cell_length_b 3.0379
_cell_length_c 26.4285
_cell_angle_alpha 90.00
_cell_angle_beta 90.00
_cell_angle_gamma 120.00
_space_group_name_H-M_alt 'R -3 m'
_space_group_IT_number 166
_space_group_name_Hall '-R 3 2"'
loop_
_atom_site_label
_atom_site_type_symbol
_atom_site_fract_x
_atom_site_fract_y
_atom_site_fract_z
Mn1 Mn 0.0000 0.0000 0.2504
In1 In 0.0000 0.0000 0.5000
Hg1 Hg 0.0000 0.0000 0.0000
# - DFT formation energy: 0.4377 eV/atom
# - E above lowest polymorph: 107 meV per atom
# - Uncorrected energy: -64.0 eV/cell

Record 6
# MnInHg2 (PBEsol, relaxed)
data_MnInHg2
_chemical_formula_sum 'Mn2 In2 Hg4'
_cell_length_a 5.812
_cell_length_b 10.399
_cell_length_c 3.147
_cell_angle_alpha 90.00
_cell_angle_beta 120.17
_cell_angle_gamma 90.00
_space_group_name_H-M_alt 'C 1 2/m 1'
_space_group_IT_number 12
_space_group_name_Hall '-C 2y'
loop_
_atom_site_label
_atom_site_type_symbol
_atom_site_fract_x
_atom_site_fract_y
_atom_site_fract_z
Mn1 Mn 0.000 0.000 0.000
In1 In 0.000 0.500 0.000
Hg1 Hg 0.250 0.250 0.000
# - DFT formation energy: 0.2893 eV/atom
# - Uncorrected energy: -25.4 eV/cell